Model 1:
This record from the Alexandria database describes a relaxed structure of Ru2WCl. The functional is PBE-GGA.

The structure in POSCAR format:
```
Ru2WCl
1.0
-0.4956 -4.7914 1.7875
3.6422 -1.8467 3.1181
-2.8909 4.2310 -0.3736
W Ru Cl
1 2 1
Direct
0.5000 0.5000 0.0000
0.2500 0.7500 0.5000
0.0000 0.0000 0.0000
0.7500 0.2500 0.5000
```

Computed properties:
As for the volume: 61 Å³/f.u. The density of states at the Fermi level is 5.1 states/eV/f.u.

---

Model 2:
This record from the Alexandria database describes a relaxed structure of Ru2WCl. The functional is PBE-GGA.

The structure in POSCAR format:
```
Ru2WCl
1.0
2.8741 -0.0244 0.0000
-1.2558 2.5853 0.0000
0.0000 0.0000 8.5181
W Cl Ru
1 1 2
Direct
0.5000 0.5000 0.2500
0.5000 0.5000 0.7500
0.0000 0.0000 0.4926
0.0000 0.0000 0.0074
```

Computed properties:
As for the volume: 63 Å³/f.u. The density of states at the Fermi level is 5.0 states/eV/f.u.

---

Most stable of them? model 2.

---

Model 1:
This record from the Alexandria database describes a relaxed structure of RuW2Cl. The functional is PBE-GGA.

The structure in POSCAR format:
```
RuW2Cl
1.0
5.0997 -0.0012 0.0091
4.2698 2.7886 0.0091
0.0432 0.0128 4.5189
Cl Ru W
1 1 2
Direct
0.5036 0.5036 0.4620
0.2807 0.2807 0.2272
0.7125 0.7125 0.7681
0.0032 0.0032 0.0426
```

Computed properties:
As for the volume: 64 Å³/f.u. The density of states at the Fermi level is 2.5 states/eV/f.u.

---

Model 2:
This record from the Alexandria database describes a relaxed structure of RuW2Cl. The functional is PBE-GGA.

The structure in POSCAR format:
```
RuW2Cl
1.0
4.4827 0.0000 0.0000
2.2414 3.8821 0.0000
2.2414 1.2940 3.6601
Ru W Cl
1 2 1
Direct
0.7500 0.7500 0.7500
0.0000 0.0000 0.0000
0.2500 0.2500 0.2500
0.5000 0.5000 0.5000
```

Computed properties:
As for the volume: 64 Å³/f.u. The density of states at the Fermi level is 5.6 states/eV/f.u.

---

Most stable of them? model 1.

---

Model 1:
This record from the Alexandria database describes a relaxed structure of RuW2Cl. The functional is PBE-GGA.

The structure in POSCAR format:
```
RuW2Cl
1.0
5.3008 -0.0024 0.0029
2.5683 4.6371 -0.0029
-3.3502 -3.3096 2.4335
Ru W Cl
1 2 1
Direct
0.2639 0.7639 0.5000
0.0085 0.0085 0.0000
0.7242 0.2242 0.5000
0.5033 0.5033 0.0000
```

Computed properties:
As for the volume: 60 Å³/f.u. The density of states at the Fermi level is 2.9 states/eV/f.u.

---

Model 2:
This record from the Alexandria database describes a relaxed structure of RuW2Cl. The functional is PBE-GGA.

The structure in POSCAR format:
```
RuW2Cl
1.0
2.8292 -0.0097 0.0000
-1.3040 2.5108 0.0000
0.0000 0.0000 8.9894
Cl Ru W
1 1 2
Direct
0.5000 0.5000 0.2500
0.5000 0.5000 0.7500
0.0000 0.0000 0.5053
0.0000 0.0000 0.9947
```

Computed properties:
As for the volume: 64 Å³/f.u. The density of states at the Fermi level is 3.6 states/eV/f.u.

---

Model 3:
This record from the Alexandria database describes a relaxed structure of RuW2Cl. The functional is PBE-GGA.

The structure in POSCAR format:
```
RuW2Cl
1.0
4.5786 0.0000 0.0000
0.0000 3.7332 0.0000
0.0000 0.0000 3.7332
Ru W Cl
1 2 1
Direct
0.5000 0.0000 0.5000
0.0000 0.0000 0.0000
0.0000 0.5000 0.5000
0.5000 0.5000 0.0000
```

Computed properties:
As for the volume: 64 Å³/f.u. The density of states at the Fermi level is 3.5 states/eV/f.u.

---

Most stable of them? model 2.

---

Model 1:
This record from the Alexandria database describes a relaxed structure of Ru3WCl. The functional is PBE-GGA.

The structure in POSCAR format:
```
Ru3WCl
1.0
4.7864 0.0000 0.0000
0.0000 4.7864 0.0000
0.0000 0.0000 4.7864
Ru Cl W
3 1 1
Direct
0.5000 0.0000 0.0000
0.0000 0.0000 0.5000
0.0000 0.5000 0.0000
0.5000 0.5000 0.5000
0.0000 0.0000 0.0000
```

Computed properties:
As for the volume: 110 Å³/f.u. The density of states at the Fermi level is 4.8 states/eV/f.u.

---

Model 2:
This record from the Alexandria database describes a relaxed structure of Ru3WCl. The functional is PBE-GGA.

The structure in POSCAR format:
```
Ru3WCl
1.0
4.3087 0.0000 0.0000
0.0000 4.3087 0.0000
0.0000 0.0000 4.3087
Cl W Ru
1 1 3
Direct
0.0000 0.0000 0.0000
0.5000 0.5000 0.5000
0.0000 0.0000 0.5000
0.5000 0.0000 0.0000
0.0000 0.5000 0.0000
```

Computed properties:
As for the volume: 80 Å³/f.u. The density of states at the Fermi level is 6.6 states/eV/f.u.

---

Most stable of them? model 2.

---

Model 1:
This record from the Alexandria database describes a relaxed structure of Y2RuCl. The functional is PBE-GGA.

The structure in POSCAR format:
```
Y2RuCl
1.0
0.0000 3.5078 3.5078
3.5078 0.0000 3.5078
3.5078 3.5078 0.0000
Cl Ru Y
1 1 2
Direct
0.0000 0.0000 0.0000
0.5000 0.5000 0.5000
0.2500 0.2500 0.2500
0.7500 0.7500 0.7500
```

Computed properties:
As for the volume: 86 Å³/f.u. The density of states at the Fermi level is 3.1 states/eV/f.u.

---

Model 2:
This record from the Alexandria database describes a relaxed structure of Y2RuCl. The functional is PBE-GGA.

The structure in POSCAR format:
```
Y2RuCl
1.0
3.9188 0.0000 0.0000
1.9594 3.3938 0.0000
1.9594 1.1313 7.5867
Ru Cl Y
1 1 2
Direct
0.6672 0.6672 0.9983
0.4970 0.4970 0.5091
0.0685 0.0685 0.7944
0.2673 0.2673 0.1982
```

Computed properties:
As for the volume: 101 Å³/f.u. The density of states at the Fermi level is 2.6 states/eV/f.u.

---

Most stable of them? model 2.

---

Model 1:
This record from the Alexandria database describes a relaxed structure of Y2RuCl. The functional is PBE-GGA.

The structure in POSCAR format:
```
Y2RuCl
1.0
-0.0635 3.3696 0.4550
-3.2304 0.1091 -1.2586
-2.9363 -1.0595 7.4362
Ru Y Cl
1 2 1
Direct
0.5000 0.7500 0.7500
0.0000 0.2504 0.5436
0.0000 0.2496 0.9564
0.5000 0.2500 0.2500
```

Computed properties:
As for the volume: 95 Å³/f.u. The density of states at the Fermi level is 2.5 states/eV/f.u.

---

Model 2:
This record from the Alexandria database describes a relaxed structure of Y2RuCl. The functional is PBE-GGA.

The structure in POSCAR format:
```
Y2RuCl
1.0
4.9547 0.0000 0.0000
2.4774 4.2909 0.0000
2.4774 1.4303 4.0455
Ru Cl Y
1 1 2
Direct
0.2500 0.2500 0.2500
0.5000 0.5000 0.5000
0.7500 0.7500 0.7500
0.0000 0.0000 0.0000
```

Computed properties:
As for the volume: 86 Å³/f.u. The density of states at the Fermi level is 3.3 states/eV/f.u.

---

Model 3:
This record from the Alexandria database describes a relaxed structure of Y2RuCl. The functional is PBE-GGA.

The structure in POSCAR format:
```
Y2RuCl
1.0
-3.1549 0.0194 1.1770
-0.3533 -3.2241 -0.9052
2.6619 -2.3056 7.1731
Ru Y Cl
1 2 1
Direct
0.5000 0.5000 0.7500
0.0000 0.0000 0.5389
0.0000 0.0000 0.9611
0.5000 0.5000 0.2500
```

Computed properties:
As for the volume: 91 Å³/f.u. The density of states at the Fermi level is 1.7 states/eV/f.u.

---

Model 4:
This record from the Alexandria database describes a relaxed structure of Y2RuCl. The functional is PBE-GGA.

The structure in POSCAR format:
```
Y2RuCl
1.0
-3.7751 6.8248 1.9563
-5.6608 3.1016 4.7949
6.3781 -4.6615 -1.4989
Y Cl Ru
2 1 1
Direct
0.0717 0.0717 0.0000
0.7847 0.2847 0.5000
0.4461 0.4461 0.0000
0.1975 0.6975 0.5000
```

Computed properties:
As for the volume: 97 Å³/f.u. The density of states at the Fermi level is 2.3 states/eV/f.u.

---

Most stable of them? model 1.